The following is a GGA-PBE calculation of crystalline DyPaB12 at its relaxed geometry, from Alexandria.

Properties
E_tot = -7.113 eV per atom
ρ = 6.4 g/cm3
density of states at the Fermi level = 4.11 states/eV/f.u.

Unit cell a=4.0791 b=4.0791 c=8.1745 alpha=90.00 beta=90.00 gamma=90.00
Atoms (fractional coordinates):
Dy (0.0000, 0.0000, 0.0000)
Pa (0.0000, 0.0000, 0.5000)
B (0.1976, 0.5000, 0.2503)
B (0.1976, 0.5000, 0.7497)
B (0.5000, 0.1976, 0.2503)
B (0.5000, 0.1976, 0.7497)
B (0.5000, 0.5000, 0.0991)
B (0.5000, 0.5000, 0.4015)
B (0.5000, 0.5000, 0.5985)
B (0.5000, 0.5000, 0.9009)
B (0.5000, 0.8024, 0.2503)
B (0.5000, 0.8024, 0.7497)
B (0.8024, 0.5000, 0.2503)
B (0.8024, 0.5000, 0.7497)

The following is a GGA-PBE calculation of crystalline Dy2PaB6 at its relaxed geometry, from Alexandria.

Properties
E_tot = -7.091 eV per atom
ρ = 9.5 g/cm3
density of states at the Fermi level = 3.53 states/eV/f.u.

Unit cell a=5.6503 b=5.6503 c=3.9403 alpha=90.00 beta=90.00 gamma=120.00
Atoms (fractional coordinates):
Dy (0.3333, 0.6667, 0.0000)
Dy (0.6667, 0.3333, 0.0000)
Pa (0.0000, 0.0000, 0.0000)
B (0.0000, 0.3305, 0.5000)
B (0.0000, 0.6695, 0.5000)
B (0.3305, 0.0000, 0.5000)
B (0.3305, 0.3305, 0.5000)
B (0.6695, 0.0000, 0.5000)
B (0.6695, 0.6695, 0.5000)

The following is a GGA-PBE calculation of crystalline DyPaB4 at its relaxed geometry, from Alexandria.

Properties
E_tot = -6.481 eV per atom
ρ = 9.4 g/cm3
polymorph energy (0 for the lowest one) = 748 meV per atom
density of states at the Fermi level = 2.89 states/eV/f.u.

Unit cell a=4.7764 b=4.7764 c=4.7764 alpha=60.00 beta=60.00 gamma=60.00
Atoms (fractional coordinates):
Dy (0.0000, 0.0000, 0.0000)
Pa (0.7500, 0.7500, 0.7500)
B (0.4074, 0.4074, 0.4074)
B (0.4074, 0.4074, 0.7777)
B (0.4074, 0.7777, 0.4074)
B (0.7777, 0.4074, 0.4074)

The following is a GGA-PBE calculation of crystalline DyPaB at its relaxed geometry, from Alexandria.

Properties
E_tot = -6.329 eV per atom
ρ = 10.5 g/cm3
density of states at the Fermi level = 3.19 states/eV/f.u.

Unit cell a=3.1974 b=5.2909 c=15.1820 alpha=90.00 beta=90.00 gamma=90.00
Atoms (fractional coordinates):
Dy (0.0000, 0.0000, 0.1837)
Dy (0.0000, 0.0000, 0.8163)
Dy (0.5000, 0.5000, 0.3163)
Dy (0.5000, 0.5000, 0.6837)
Pa (0.0000, 0.2483, 0.5000)
Pa (0.0000, 0.7517, 0.5000)
Pa (0.5000, 0.2517, 0.0000)
Pa (0.5000, 0.7483, 0.0000)
B (0.0000, 0.0000, 0.3546)
B (0.0000, 0.0000, 0.6454)
B (0.5000, 0.5000, 0.1454)
B (0.5000, 0.5000, 0.8546)

The following is a GGA-PBE calculation of crystalline DyPaB4 at its relaxed geometry, from Alexandria.

Properties
E_tot = -7.230 eV per atom
ρ = 9.7 g/cm3
polymorph energy (0 for the lowest one) = 0 meV per atom
density of states at the Fermi level = 1.75 states/eV/f.u.

Unit cell a=3.6168 b=3.6168 c=11.4843 alpha=90.00 beta=90.00 gamma=90.00
Atoms (fractional coordinates):
Dy (0.0000, 0.0000, 0.0000)
Dy (0.5000, 0.5000, 0.5000)
Pa (0.0000, 0.5000, 0.2500)
Pa (0.5000, 0.0000, 0.7500)
B (0.0000, 0.0000, 0.4211)
B (0.0000, 0.0000, 0.5789)
B (0.0000, 0.5000, 0.6714)
B (0.0000, 0.5000, 0.8286)
B (0.5000, 0.0000, 0.1714)
B (0.5000, 0.0000, 0.3286)
B (0.5000, 0.5000, 0.0789)
B (0.5000, 0.5000, 0.9211)

The following is a GGA-PBE calculation of crystalline Dy4BPb2 at its relaxed geometry, from Alexandria.

Properties
E_tot = -5.047 eV per atom
ρ = 9.1 g/cm3
density of states at the Fermi level = 4.78 states/eV/f.u.

Unit cell a=4.9083 b=4.9083 c=16.2165 alpha=90.00 beta=90.00 gamma=90.00
Atoms (fractional coordinates):
Dy (0.0000, 0.0000, 0.1635)
Dy (0.0000, 0.0000, 0.8365)
Dy (0.0000, 0.5000, 0.0000)
Dy (0.0000, 0.5000, 0.5000)
Dy (0.5000, 0.0000, 0.0000)
Dy (0.5000, 0.0000, 0.5000)
Dy (0.5000, 0.5000, 0.3365)
Dy (0.5000, 0.5000, 0.6635)
B (0.0000, 0.0000, 0.0000)
B (0.5000, 0.5000, 0.5000)
Pb (0.0000, 0.0000, 0.3605)
Pb (0.0000, 0.0000, 0.6395)
Pb (0.5000, 0.5000, 0.1395)
Pb (0.5000, 0.5000, 0.8605)

The following is a GGA-PBE calculation of crystalline Dy2B2Rh5Pb at its relaxed geometry, from Alexandria.

Properties
E_tot = -7.019 eV per atom
ρ = 11.5 g/cm3
density of states at the Fermi level = 3.04 states/eV/f.u.

Unit cell a=9.6491 b=9.6491 c=3.3091 alpha=90.00 beta=90.00 gamma=90.00
Atoms (fractional coordinates):
Dy (0.1754, 0.3246, 0.0000)
Dy (0.3246, 0.8246, 0.0000)
Dy (0.6754, 0.1754, 0.0000)
Dy (0.8246, 0.6754, 0.0000)
B (0.1208, 0.6208, 0.0000)
B (0.3792, 0.1208, 0.0000)
B (0.6208, 0.8792, 0.0000)
B (0.8792, 0.3792, 0.0000)
Rh (0.0000, 0.5000, 0.5000)
Rh (0.0710, 0.7712, 0.5000)
Rh (0.2288, 0.0710, 0.5000)
Rh (0.2712, 0.5710, 0.5000)
Rh (0.4290, 0.2712, 0.5000)
Rh (0.5000, 0.0000, 0.5000)
Rh (0.5710, 0.7288, 0.5000)
Rh (0.7288, 0.4290, 0.5000)
Rh (0.7712, 0.9290, 0.5000)
Rh (0.9290, 0.2288, 0.5000)
Pb (0.0000, 0.0000, 0.0000)
Pb (0.5000, 0.5000, 0.0000)

The following is a GGA-PBE calculation of crystalline DyBPd3 at its relaxed geometry, from Alexandria.

Properties
E_tot = -5.993 eV per atom
ρ = 10.2 g/cm3
density of states at the Fermi level = 3.70 states/eV/f.u.

Unit cell a=4.3174 b=4.3174 c=4.3174 alpha=90.00 beta=90.00 gamma=90.00
Atoms (fractional coordinates):
Dy (0.0000, 0.0000, 0.0000)
B (0.5000, 0.5000, 0.5000)
Pd (0.0000, 0.5000, 0.5000)
Pd (0.5000, 0.0000, 0.5000)
Pd (0.5000, 0.5000, 0.0000)

The following is a GGA-PBE calculation of crystalline DyB2Pd8 at its relaxed geometry, from Alexandria.

Properties
E_tot = -5.770 eV per atom
ρ = 10.6 g/cm3
density of states at the Fermi level = 3.17 states/eV/f.u.

Unit cell a=6.4838 b=6.4838 c=4.2240 alpha=97.25 beta=97.25 gamma=110.13
Atoms (fractional coordinates):
Dy (0.0000, 0.0000, 0.0000)
B (0.3287, 0.6713, 0.5000)
B (0.6713, 0.3287, 0.5000)
Pd (0.0578, 0.3307, 0.5831)
Pd (0.2646, 0.7354, 0.0000)
Pd (0.3307, 0.0578, 0.5831)
Pd (0.3916, 0.3916, 0.2087)
Pd (0.6084, 0.6084, 0.7913)
Pd (0.6693, 0.9422, 0.4169)
Pd (0.7354, 0.2646, 0.0000)
Pd (0.9422, 0.6693, 0.4169)

The following is a GGA-PBE calculation of crystalline DyB2Pd7 at its relaxed geometry, from Alexandria.

Properties
E_tot = -5.716 eV per atom
ρ = 9.6 g/cm3
density of states at the Fermi level = 4.29 states/eV/f.u.

Unit cell a=6.4511 b=6.4511 c=4.1920 alpha=90.00 beta=90.00 gamma=112.18
Atoms (fractional coordinates):
Dy (0.0000, 0.0000, 0.0000)
B (0.2905, 0.7095, 0.5000)
B (0.7095, 0.2905, 0.5000)
Pd (0.0556, 0.3249, 0.5000)
Pd (0.3233, 0.6767, 0.0000)
Pd (0.3249, 0.0556, 0.5000)
Pd (0.5000, 0.5000, 0.5000)
Pd (0.6751, 0.9444, 0.5000)
Pd (0.6767, 0.3233, 0.0000)
Pd (0.9444, 0.6751, 0.5000)

The following is a GGA-PBE calculation of crystalline DyBPd at its relaxed geometry, from Alexandria.

Properties
E_tot = -6.092 eV per atom
ρ = 9.6 g/cm3
density of states at the Fermi level = 1.29 states/eV/f.u.

Unit cell a=15.0334 b=3.3450 c=4.0046 alpha=90.00 beta=105.37 gamma=90.00
Atoms (fractional coordinates):
Dy (0.1398, 0.0000, 0.3900)
Dy (0.3602, 0.5000, 0.6100)
Dy (0.6398, 0.5000, 0.3900)
Dy (0.8602, 0.0000, 0.6100)
B (0.2262, 0.5000, 0.9766)
B (0.2738, 0.0000, 0.0234)
B (0.7262, 0.0000, 0.9766)
B (0.7738, 0.5000, 0.0234)
Pd (0.0619, 0.5000, 0.8119)
Pd (0.4381, 0.0000, 0.1880)
Pd (0.5619, 0.0000, 0.8119)
Pd (0.9381, 0.5000, 0.1880)